Entry from Alexandria: a relaxed Zn3HgF crystal (GGA-PBE).

Cell: 5.0451 5.0451 5.0451 Å, 90.00 90.00 90.00°
With the nearest neighbours (Å) after each atom.
Sites, in units of the cell vectors:
1 Zn 0.0000 0.5000 0.0000  2 Hg 2.52
2 Zn 0.0000 0.0000 0.5000  2 Hg 2.52
3 Zn 0.5000 0.0000 0.0000  2 Hg 2.52
4 Hg 0.0000 0.0000 0.0000  6 Zn 2.52
5 F 0.5000 0.5000 0.5000  12 Zn 3.57

Values from the calculation:
**Offset from the most stable computed form**: 0.65 eV per formula unit
**ρ**: 5.4 g cm⁻³
**M_tot**: 0.00 μB/cell
**Formation energy without anion corrections**: -40 meV per atom
**Crystal system**: cubic